# 1
Material: Mg5Ag2Hg2
Method: DFT, GGA-PBE
State: relaxed

abc: 8.012 8.012 7.273
angles: 90.00 90.00 56.55
Atoms (fractional coordinates):
Mg 0.000 0.000 0.000
Mg 0.035 0.701 0.665
Mg 0.201 0.535 0.165
Mg 0.299 0.965 0.665
Mg 0.465 0.799 0.165
Mg 0.500 0.500 0.500
Mg 0.535 0.201 0.835
Mg 0.701 0.035 0.335
Mg 0.799 0.465 0.835
Mg 0.965 0.299 0.335
Ag 0.136 0.864 0.367
Ag 0.364 0.636 0.867
Ag 0.636 0.364 0.133
Ag 0.864 0.136 0.633
Hg 0.207 0.207 0.000
Hg 0.293 0.293 0.500
Hg 0.707 0.707 0.500
Hg 0.793 0.793 0.000

Output
**Electronic total energy**: -1.744 eV/atom
**Energy of formation from the pure elements**: -0.1575 eV per atom
**Spin magnetization**: 0.00 Bohr magnetons per cell
**Fermi-level density of states**: 0.378 states/eV/atom

***

# 2
Material: K3UBr6Cl2
Method: DFT, GGA-PBE
State: relaxed

abc: 9.753 9.753 6.856
angles: 102.29 102.29 57.06
Atoms (fractional coordinates):
K 0.000 0.000 0.000
K 0.000 0.500 0.500
K 0.500 0.000 0.500
U 0.500 0.500 0.500
Br 0.208 0.620 0.265
Br 0.380 0.792 0.735
Br 0.394 0.394 0.734
Br 0.606 0.606 0.266
Br 0.620 0.208 0.265
Br 0.792 0.380 0.735
Cl 0.163 0.163 0.276
Cl 0.837 0.837 0.724

Output
**Electronic total energy**: -3.886 eV/atom
**Spin magnetization**: 1.00 Bohr magnetons per cell

***

# 3
Material: NbPtRh3
Method: DFT, GGA-PBE
State: relaxed

abc: 5.223 5.223 5.223
angles: 60.47 60.47 60.47
Atoms (fractional coordinates):
Nb 0.000 0.000 0.000
Pt 0.500 0.500 0.500
Rh 0.000 0.500 0.500
Rh 0.500 0.000 0.500
Rh 0.500 0.500 0.000

Output
**Electronic total energy**: -7.023 eV/atom
**Energy of formation from the pure elements**: 0.6095 eV per atom
**Spin magnetization**: 0.00 Bohr magnetons per cell
**Fermi-level density of states**: 1.353 states/eV/atom

***

# 4
Material: Pa3Te6Pd
Method: DFT, GGA-PBE
State: relaxed

abc: 9.426 9.426 7.102
angles: 90.00 90.00 99.88
Atoms (fractional coordinates):
Pa 0.108 0.892 0.500
Pa 0.236 0.440 0.396
Pa 0.440 0.236 0.896
Pa 0.560 0.764 0.396
Pa 0.764 0.560 0.896
Pa 0.892 0.108 0.000
Te 0.029 0.579 0.637
Te 0.130 0.203 0.698
Te 0.203 0.130 0.198
Te 0.269 0.731 0.181
Te 0.421 0.971 0.637
Te 0.463 0.537 0.707
Te 0.537 0.463 0.207
Te 0.579 0.029 0.137
Te 0.731 0.269 0.681
Te 0.797 0.870 0.698
Te 0.870 0.797 0.198
Te 0.971 0.421 0.137
Pd 0.277 0.723 0.767
Pd 0.723 0.277 0.267

Output
**Electronic total energy**: -5.990 eV/atom
**Spin magnetization**: 5.56 Bohr magnetons per cell
**Fermi-level density of states**: 1.495 states/eV/atom

***

# 5
Material: Y2NpPt9
Method: DFT, GGA-PBE
State: relaxed

abc: 4.139 4.139 12.374
angles: 90.00 90.00 90.00
Atoms (fractional coordinates):
Y 0.000 0.000 0.164
Y 0.000 0.000 0.836
Np 0.000 0.000 0.500
Pt 0.000 0.500 0.000
Pt 0.000 0.500 0.336
Pt 0.000 0.500 0.664
Pt 0.500 0.000 0.000
Pt 0.500 0.000 0.336
Pt 0.500 0.000 0.664
Pt 0.500 0.500 0.167
Pt 0.500 0.500 0.500
Pt 0.500 0.500 0.833

Output
**Electronic total energy**: -7.572 eV/atom
**Energy of formation from the pure elements**: -0.8855 eV per atom
**Spin magnetization**: 2.59 Bohr magnetons per cell
**Fermi-level density of states**: 1.299 states/eV/atom

***

# 6
Material: Co2GeP2
Method: DFT, GGA-PBE
State: relaxed

abc: 5.996 5.996 5.996
angles: 145.71 145.71 49.27
Atoms (fractional coordinates):
Co 0.129 0.129 0.000
Co 0.871 0.871 0.000
Ge 0.500 0.500 0.000
P 0.250 0.750 0.500
P 0.750 0.250 0.500

Output
**Electronic total energy**: -5.954 eV/atom
**Energy of formation from the pure elements**: -0.0247 eV per atom
**Spin magnetization**: 0.00 Bohr magnetons per cell
**Fermi-level density of states**: 0.929 states/eV/atom